First-principles (PBEsol) data for a relaxed structure of ZnCu2SnSeS3, as listed in Alexandria.

CIF file:
```
data_ZnCu2SnSeS3
_chemical_formula_sum 'Zn1 Cu2 Sn1 Se1 S3'
_cell_length_a 5.442
_cell_length_b 5.439
_cell_length_c 6.675
_cell_angle_alpha 114.15
_cell_angle_beta 114.19
_cell_angle_gamma 89.85
_symmetry_space_group_name_H-M 'P 1'
_symmetry_Int_Tables_number 1
loop_
_symmetry_equiv_pos_as_xyz
'x,y,z'
loop_
_atom_site_label
_atom_site_type_symbol
_atom_site_fract_x
_atom_site_fract_y
_atom_site_fract_z
S1 S 0.889 0.901 0.258
S2 S 0.637 0.114 0.740
S3 S 0.104 0.631 0.739
Cu1 Cu 0.979 0.981 0.985
Cu2 Cu 0.772 0.246 0.513
Sn1 Sn 0.504 0.506 0.998
Zn1 Zn 0.246 0.764 0.506
Se1 Se 0.369 0.357 0.262
```

Calculated values
E_form (uncorrected)	-0.444	eV per atom
crystal system	triclinic
total DFT energy (no corrections)	-35.1	eV/cell
total moment	0.00	μB/cell
space-group type	P1



First-principles (PBEsol) data for a relaxed structure of Zn3Cu6Sn3Se4S8, as listed in Alexandria.

CIF file:
```
data_Zn3Cu6Sn3Se4S8
_chemical_formula_sum 'Zn3 Cu6 Sn3 Se4 S8'
_cell_length_a 5.461
_cell_length_b 5.461
_cell_length_c 16.871
_cell_angle_alpha 99.22
_cell_angle_beta 99.29
_cell_angle_gamma 90.39
_symmetry_space_group_name_H-M 'P 1'
_symmetry_Int_Tables_number 1
loop_
_symmetry_equiv_pos_as_xyz
'x,y,z'
loop_
_atom_site_label
_atom_site_type_symbol
_atom_site_fract_x
_atom_site_fract_y
_atom_site_fract_z
Sn1 Sn 0.503 0.498 0.001
Sn2 Sn 0.170 0.161 0.331
Sn3 Sn 0.833 0.829 0.663
Cu1 Cu 0.922 0.420 0.842
Cu2 Cu 0.737 0.237 0.501
Cu3 Cu 0.264 0.765 0.501
Cu4 Cu 0.422 0.921 0.842
Cu5 Cu 0.602 0.101 0.171
Cu6 Cu 0.071 0.569 0.171
S1 S 0.529 0.530 0.572
S2 S 0.863 0.863 0.242
S3 S 0.042 0.043 0.572
S4 S 0.199 0.197 0.912
S5 S 0.715 0.713 0.912
S6 S 0.379 0.379 0.242
S7 S 0.470 0.950 0.420
S8 S 0.804 0.284 0.088
Zn1 Zn 0.328 0.329 0.657
Zn2 Zn 0.657 0.672 0.329
Zn3 Zn 0.994 0.005 0.999
Se1 Se 0.950 0.473 0.423
Se2 Se 0.285 0.809 0.094
Se3 Se 0.143 0.613 0.756
Se4 Se 0.615 0.140 0.756
```

Calculated values
E_form (uncorrected)	-0.430	eV per atom
crystal system	monoclinic
total DFT energy (no corrections)	-104.3	eV/cell
total moment	0.00	μB/cell
space-group type	Cm



- total moment of number 1 (ZnCu2SnSeS3)?
  0.00 μB/cell



- Which formula does entry 1 have?
  ZnCu2SnSeS3